Entry from Alexandria via LeMat-Bulk: a relaxed LiNi2W crystal (PBE).

As for the density of states at the Fermi level: 2.6 states/eV/cell. The final energy comes out at -26.33 eV for the cell shown.

The structure belongs to space group P4/mmm (No. 123); the cell edges are 2.7247, 2.7247 and 6.6871 Å and the angles 90.00°, 90.00° and 90.00°. The distinct sites, in fractional coordinates, are Li at (0.0000, 0.0000, 0.0000), Ni at (0.5000, 0.5000, 0.2377) and W at (0.0000, 0.0000, 0.5000).